# Li5Ti2Fe3O10

Li5Ti2Fe3O10 after structural relaxation (GGA+U, Alexandria via LeMat-Bulk).

Output
* N(E_F): 0.000 states/eV/cell
* final energy: -135.516 eV per cell

a = 5.2072 Å, b = 5.2088 Å, c = 7.8948 Å
α = 70.96°, β = 71.24°, γ = 80.30°
With the nearest neighbours (Å) after each atom.
Atoms (fractional coordinates):
Li 0.0000 0.0000 0.0000  5 O 2.03-2.20
Li 0.0097 0.3901 0.1887  5 O 2.08-2.24
Li 0.4945 0.2906 0.8951  6 O 2.11-2.23
Li 0.9714 0.1771 0.6139  5 O 2.10-2.18
Li 0.9844 0.5551 0.7993  5 O 2.08-2.27
Ti 0.4636 0.8970 0.7065  5 O 1.88-2.04
Ti 0.5164 0.6861 0.0852  6 O 1.90-2.09
Fe 0.4902 0.4774 0.5065  6 O 2.05-2.26
Fe 0.4970 0.0893 0.2933  6 O 2.02-2.12
Fe 0.9917 0.7754 0.4030  6 O 2.06-2.23
O 0.2445 0.2067 0.7511  1 Ti 1.88, 2 Li 2.03-2.10
O 0.2580 0.8472 0.5513  1 Ti 1.96, 2 Fe 2.12-2.16, 1 Li 2.15
O 0.2623 0.0059 0.1602  2 Fe 2.02-2.11, 1 Ti 2.07, 3 Li 2.15-2.24
O 0.2710 0.4369 0.3300  3 Fe 2.04-2.19, 1 Ti 2.09, 1 Li 2.10
O 0.2750 0.6506 0.9436  2 Ti 1.95-2.00, 2 Li 2.11-2.17
O 0.7123 0.9165 0.8533  2 Ti 1.90-2.03
O 0.7183 0.1126 0.4627  1 Ti 2.04, 3 Fe 2.07-2.14, 1 Li 2.17
O 0.7285 0.3511 0.0631  1 Ti 1.93, 1 Fe 2.04, 2 Li 2.08-2.12
O 0.7290 0.5527 0.6443  2 Fe 2.05-2.06, 3 Li 2.08-2.18, 1 Ti 2.16
O 0.7299 0.7534 0.2336  1 Ti 1.99, 1 Fe 2.05, 1 Li 2.10